Entry 1:
First-principles (PBE) data for a relaxed structure of SiBRhS, as listed in Alexandria.

Unit cell a=11.2568 b=2.9444 c=3.8785 alpha=90.00 beta=103.31 gamma=90.00
Space group Cm (No. 8)
Symmetry-distinct sites (fractional):
Si1 0.0000 0.0000 0.0000 (multiplicity 2)
B1 0.1543 0.5000 0.4342 (multiplicity 2)
Rh1 0.4782 0.0000 0.4840 (multiplicity 2)
S1 0.2476 0.0000 0.3909 (multiplicity 2)

Output
* VASP energy: -48.52 eV/cell
* formation energy without anion corrections: -0.68 eV/f.u.

Entry 2:
First-principles (PBE) data for a relaxed structure of SiBRhS, as listed in Alexandria.

Unit cell a=3.5015 b=3.8419 c=5.1322 alpha=78.44 beta=72.32 gamma=67.34
Space group P1 (No. 1)
Symmetry-distinct sites (fractional):
Si1 0.0000 0.0000 0.0000 (multiplicity 1)
B1 0.7442 0.8015 0.7574 (multiplicity 1)
Rh1 0.3842 0.4200 0.7825 (multiplicity 1)
S1 0.5758 0.9595 0.4268 (multiplicity 1)

Output
* VASP energy: -23.84 eV/cell
* formation energy without anion corrections: -0.27 eV/f.u.